LaPrSm2Er: relaxed, GGA-PBE.

Values from the calculation:
- Symmetry: P2/c (13)
- Calculated total energy: -4.48 eV/atom
- Energy of formation from the pure elements: 0.261 eV/atom

a b c (Å): 6.484 9.131 6.462
angles (deg): 109.56 90.00 90.00
Sites, in units of the cell vectors:
La 0.000 0.000 0.000
La 0.000 0.000 0.500
Pr 0.162 0.500 0.750
Pr 0.838 0.500 0.250
Sm 0.674 0.684 0.840
Sm 0.674 0.316 0.660
Sm 0.326 0.684 0.340
Sm 0.326 0.316 0.160
Er 0.506 0.000 0.250
Er 0.494 0.000 0.750